Record 1
VASP calculation (PBE) on crystalline GdPPbO at its relaxed geometry.

Cell: 5.561 5.561 5.398 Å, 90.00 90.00 90.00°
Sites, in units of the cell vectors:
Gd 0.250 0.750 0.000
Gd 0.750 0.250 0.000
P 0.250 0.250 0.006
P 0.750 0.750 0.994
Pb 0.250 0.250 0.504
Pb 0.750 0.750 0.496
O 0.250 0.750 0.500
O 0.750 0.250 0.500

Summary:
space group = P4/nmm, No. 129
energy above the lowest structure with this stoichiometry = 1.03 eV per formula unit

Record 2
VASP calculation (PBE) on crystalline ScTl2Hg at its relaxed geometry.

Cell: 5.185 5.185 5.185 Å, 60.00 60.00 60.00°
Sites, in units of the cell vectors:
Sc 0.000 0.000 0.000
Tl 0.500 0.500 0.500
Tl 0.750 0.750 0.750
Hg 0.250 0.250 0.250

Summary:
E = -2.83 eV/atom
space group = F-43m, No. 216

Record 3
VASP calculation (PBE) on crystalline Sm2Er2CCl5 at its relaxed geometry.

Cell: 8.784 8.784 7.769 Å, 104.14 104.14 24.41°
Sites, in units of the cell vectors:
Sm 0.148 0.148 0.086
Sm 0.852 0.852 0.914
Er 0.499 0.499 0.209
Er 0.501 0.501 0.791
C 0.000 0.000 0.000
Cl 0.000 0.000 0.500
Cl 0.333 0.333 0.174
Cl 0.340 0.340 0.645
Cl 0.660 0.660 0.355
Cl 0.667 0.667 0.826

Summary:
E = -5.39 eV/atom
space group = C2/m, No. 12

> Which formula does entry 2 have?

ScTl2Hg

> What is the formula in the first record?

GdPPbO